[1]
Material: Tb2NdPuSe4
Method: DFT, GGA-PBE
State: optimized geometry

Lattice parameters (Å, degrees): 4.118 7.179 7.193 109.13 90.00 90.00
Last column: magnetic moment on the atom in μB.
Fractional positions:
Tb  0.500  0.000  0.500  -0.02
Tb  0.000  0.500  0.500  0.05
Nd  0.000  0.000  0.000  0.04
Pu  0.500  0.500  0.000  5.49
Se  0.500  0.256  0.259  -0.01
Se  0.500  0.744  0.741  -0.01
Se  0.000  0.251  0.744  -0.03
Se  0.000  0.749  0.256  -0.03

Crystal system: monoclinic
Final energy, eV per cell: -56.29
DOS(E_F), states/eV per atom: 1.21
Raw formation energy, eV per formula unit: -13.990

***

[2]
Material: TbTlPtRh
Method: DFT, GGA-PBE
State: optimized geometry

Lattice parameters (Å, degrees): 4.807 4.807 4.807 60.00 60.00 60.00
Fractional positions:
Rh  0.250  0.250  0.250
Tl  0.500  0.500  0.500
Tb  0.000  0.000  0.000
Pt  0.750  0.750  0.750

Crystal system: cubic
Final energy, eV per cell: -22.72
DOS(E_F), states/eV per atom: 0.79
Formation enthalpy at 0 K, eV per atom: -0.5828

***

[3]
Material: Cr2GaCo2
Method: DFT, GGA-PBE
State: optimized geometry

Lattice parameters (Å, degrees): 6.924 6.924 2.547 90.00 90.00 90.00
Fractional positions:
Cr  0.383  0.883  0.000
Cr  0.883  0.617  0.000
Cr  0.617  0.117  0.000
Cr  0.117  0.383  0.000
Co  0.172  0.672  0.500
Co  0.672  0.828  0.500
Co  0.828  0.328  0.500
Co  0.328  0.172  0.500
Ga  0.000  0.000  0.000
Ga  0.500  0.500  0.000

Crystal system: tetragonal
Final energy, eV per cell: -70.88
DOS(E_F), states/eV per atom: 0.92
Formation enthalpy at 0 K, eV per atom: 0.2093

***

[4]
Material: SiHPb2S4
Method: DFT, GGA-PBE
State: optimized geometry

Lattice parameters (Å, degrees): 7.739 7.739 8.404 122.89 122.89 78.56
Fractional positions:
Si  0.500  0.500  0.500
Si  0.000  0.000  0.000
H  0.000  0.500  0.000
H  0.000  0.500  0.500
Pb  0.500  0.000  0.000
Pb  0.500  0.000  0.500
Pb  0.000  0.000  0.500
Pb  0.500  0.500  0.000
S  0.244  0.809  0.026
S  0.691  0.256  0.474
S  0.309  0.744  0.526
S  0.756  0.191  0.974
S  0.818  0.682  0.988
S  0.818  0.682  0.512
S  0.182  0.318  0.488
S  0.182  0.318  0.012

Crystal system: orthorhombic
Final energy, eV per cell: -65.77
DOS(E_F), states/eV per atom: 0.26

***

[5]
Material: RbYOF2
Method: DFT, GGA-PBE
State: optimized geometry

Lattice parameters (Å, degrees): 4.613 4.613 4.977 90.00 90.00 90.00
Last column: magnetic moment on the atom in μB.
Fractional positions:
Y  0.500  0.500  0.500  0.14
O  0.000  0.000  0.500  -0.20
Rb  0.000  0.000  0.000  -0.02
F  0.000  0.500  0.000  0.00
F  0.500  0.000  0.000  0.00

Crystal system: tetragonal
Energy relative to the lowest polymorph listed for this composition, eV/atom: 1.985
Final energy, eV per cell: -22.52
DOS(E_F), states/eV per atom: 0.33
Raw formation energy, eV per formula unit: -6.390

***

[6]
Material: YPuCuHg
Method: DFT, GGA-PBE
State: optimized geometry

Lattice parameters (Å, degrees): 5.153 5.153 5.153 60.00 60.00 60.00
Last column: magnetic moment on the atom in μB.
Fractional positions:
Y  0.000  0.000  0.000  0.09
Hg  0.750  0.750  0.750  0.03
Cu  0.250  0.250  0.250  0.02
Pu  0.500  0.500  0.500  5.38

Crystal system: cubic
Final energy, eV per cell: -25.58
DOS(E_F), states/eV per atom: 2.56
Formation enthalpy at 0 K, eV per atom: -0.0966

***

[7]
Material: InIrPd3
Method: DFT, GGA-PBE
State: optimized geometry

Lattice parameters (Å, degrees): 4.875 4.875 4.875 90.00 90.00 90.00
Fractional positions:
Ir  0.000  0.000  0.000
Pd  0.000  0.500  0.000
Pd  0.000  0.000  0.500
Pd  0.500  0.000  0.000
In  0.500  0.500  0.500

Crystal system: cubic
Energy relative to the lowest polymorph listed for this composition, eV/atom: 0.000
Final energy, eV per cell: -22.82
DOS(E_F), states/eV per atom: 1.44
Formation enthalpy at 0 K, eV per atom: 0.8715

***

[8]
Material: Si2TcOs
Method: DFT, GGA-PBE
State: optimized geometry

Lattice parameters (Å, degrees): 6.410 6.410 5.426 53.79 53.79 90.00
Last column: magnetic moment on the atom in μB.
Fractional positions:
Si  0.635  0.125  0.250  -0.01
Si  0.115  0.625  0.250  -0.01
Si  0.375  0.365  0.750  -0.01
Si  0.875  0.885  0.750  -0.01
Os  0.000  0.000  0.000  0.28
Os  0.750  0.250  0.500  0.28
Tc  0.500  0.500  0.000  0.64
Tc  0.250  0.750  0.500  0.64

Crystal system: tetragonal
Energy relative to the lowest polymorph listed for this composition, eV/atom: 0.866
Final energy, eV per cell: -61.27
DOS(E_F), states/eV per atom: 1.03
Raw formation energy, eV per formula unit: 1.807

***

[9]
Material: RbUNiSe4
Method: DFT, GGA-PBE
State: optimized geometry

Lattice parameters (Å, degrees): 6.786 5.908 9.588 90.00 106.03 90.00
Last column: magnetic moment on the atom in μB.
Fractional positions:
Rb  0.756  0.750  0.952  0.00
Rb  0.244  0.250  0.048  0.00
U  0.737  0.750  0.448  1.02
U  0.263  0.250  0.552  1.02
Ni  0.249  0.750  0.355  -0.42
Ni  0.751  0.250  0.645  -0.42
Se  0.017  0.510  0.697  -0.05
Se  0.983  0.010  0.303  -0.05
Se  0.983  0.490  0.303  -0.05
Se  0.017  0.990  0.697  -0.05
Se  0.451  0.750  0.189  -0.09
Se  0.549  0.250  0.811  -0.09
Se  0.434  0.750  0.594  -0.09
Se  0.566  0.250  0.406  -0.09

Crystal system: monoclinic
Final energy, eV per cell: -76.45
DOS(E_F), states/eV per atom: 0.85
Raw formation energy, eV per formula unit: -6.249

***

[10]
Material: TlInSiOs2
Method: DFT, GGA-PBE
State: optimized geometry

Lattice parameters (Å, degrees): 4.976 5.356 4.976 90.00 90.00 90.00
Last column: magnetic moment on the atom in μB.
Fractional positions:
Tl  0.000  0.500  0.000  -0.02
Os  0.000  0.000  0.500  1.28
Os  0.500  0.000  0.000  1.03
Si  0.500  0.500  0.500  -0.09
In  0.000  0.000  0.000  -0.02

Crystal system: tetragonal
Final energy, eV per cell: -20.77
DOS(E_F), states/eV per atom: 1.06
Raw formation energy, eV per formula unit: 12.212

***

[11]
Material: TaIO
Method: DFT, GGA-PBE
State: optimized geometry

Lattice parameters (Å, degrees): 3.732 4.124 9.903 83.65 89.22 80.18
Fractional positions:
Ta  0.198  0.783  0.578
Ta  0.802  0.217  0.422
I  0.719  0.794  0.799
I  0.281  0.206  0.201
O  0.715  0.713  0.468
O  0.285  0.287  0.532

Crystal system: triclinic
Final energy, eV per cell: -44.28
Raw formation energy, eV per formula unit: -3.780

***

[12]
Material: CaLaSc2Hg4
Method: DFT, GGA-PBE
State: optimized geometry

Lattice parameters (Å, degrees): 5.165 5.165 9.250 73.79 73.79 60.00
Fractional positions:
Ca  0.500  0.500  0.500
La  0.000  0.000  0.000
Sc  0.754  0.754  0.738
Sc  0.246  0.246  0.262
Hg  0.382  0.382  0.855
Hg  0.874  0.874  0.378
Hg  0.126  0.126  0.622
Hg  0.618  0.618  0.145

Crystal system: trigonal
Final energy, eV per cell: -24.21
DOS(E_F), states/eV per atom: 0.79
Formation enthalpy at 0 K, eV per atom: -0.4267

***

[13]
Material: HoMnNbGe2
Method: DFT, GGA-PBE
State: optimized geometry

Lattice parameters (Å, degrees): 3.982 3.982 6.484 107.88 107.88 90.00
Last column: magnetic moment on the atom in μB.
Fractional positions:
Ho  0.000  0.000  0.000  -0.15
Mn  0.750  0.250  0.500  2.65
Nb  0.250  0.750  0.500  -0.39
Ge  0.608  0.608  0.216  -0.02
Ge  0.392  0.392  0.784  -0.02

Crystal system: tetragonal
Final energy, eV per cell: -35.41
DOS(E_F), states/eV per atom: 0.79
Formation enthalpy at 0 K, eV per atom: -0.4718